[1]
Dy7Ag2Pd2: optimized geometry, GGA-PBE.

```
Dy7Ag2Pd2
1.0
3.9238 -5.4711 0.0000
3.9238 5.4711 0.0000
0.0000 0.0000 7.1871
Dy Ag Pd
7 2 2
direct
0.0000 0.0000 0.0000
0.0000 0.5000 0.2614
0.0000 0.5000 0.7386
0.5000 0.0000 0.2614
0.5000 0.0000 0.7386
0.5000 0.5000 0.2556
0.5000 0.5000 0.7444
0.1804 0.1804 0.5000
0.8196 0.8196 0.5000
0.2885 0.7114 0.0000
0.7114 0.2885 0.0000
```

formation energy: -250 meV/atom
total DFT energy (no corrections): -4.641 eV/atom

***

[2]
DyAg2Pd: optimized geometry, GGA-PBE.

```
DyAg2Pd
1.0
-2.0068 2.0765 4.6248
2.0068 -2.0765 4.6248
2.0068 2.0765 -4.6248
Dy Ag Pd
1 2 1
direct
0.0000 0.0000 0.0000
0.2522 0.7522 0.5000
0.7478 0.2478 0.5000
0.5000 0.5000 0.0000
```

formation energy: -484 meV/atom
energy relative to the lowest polymorph listed for this composition: 0 meV/atom
total DFT energy (no corrections): -4.359 eV/atom

***

[3]
Dy6AgPd12: optimized geometry, GGA-PBE.

```
Dy6AgPd12
1.0
5.4313 3.1358 3.6854
-5.4313 3.1358 3.6854
0.0000 -6.2715 3.6854
Dy Ag Pd
6 1 12
direct
0.1888 0.7441 0.3347
0.2559 0.6653 0.8112
0.3347 0.1888 0.7441
0.6653 0.8112 0.2559
0.7441 0.3347 0.1888
0.8112 0.2559 0.6653
0.5000 0.5000 0.5000
0.0001 0.0455 0.2861
0.9999 0.9545 0.7139
0.0455 0.2861 0.0001
0.1289 0.3855 0.4543
0.2861 0.0001 0.0455
0.3855 0.4543 0.1289
0.4543 0.1289 0.3855
0.5457 0.8711 0.6145
0.6145 0.5457 0.8711
0.7139 0.9999 0.9545
0.8711 0.6145 0.5457
0.9545 0.7139 0.9999
```

formation energy: -708 meV/atom
total DFT energy (no corrections): -5.591 eV/atom

***

[4]
Dy3Ag4Pd2: optimized geometry, GGA-PBE.

```
Dy3Ag4Pd2
1.0
6.9862 -5.1769 0.0000
6.9862 5.1769 0.0000
-0.9487 0.0000 5.1910
Dy Ag Pd
6 8 4
direct
0.1128 0.8872 0.7500
0.2000 0.4643 0.9233
0.4643 0.2000 0.4233
0.5357 0.8000 0.5767
0.8000 0.5357 0.0767
0.8872 0.1128 0.2500
0.1030 0.3378 0.3743
0.3160 0.5733 0.4736
0.3378 0.1030 0.8743
0.4267 0.6840 0.0264
0.5733 0.3160 0.9736
0.6622 0.8970 0.1257
0.6840 0.4267 0.5264
0.8970 0.6622 0.6257
0.0185 0.7592 0.1843
0.2408 0.9815 0.3157
0.7592 0.0185 0.6843
0.9815 0.2408 0.8157
```

formation energy: -440 meV/atom
total DFT energy (no corrections): -4.396 eV/atom

***

[5]
Dy2AgPd3: optimized geometry, GGA-PBE.

```
Dy2AgPd3
1.0
7.3763 0.0000 0.0000
0.0000 3.7683 0.0000
0.0000 0.0000 17.5051
Dy Ag Pd
8 4 12
direct
0.1000 0.2500 0.2079
0.1584 0.2500 0.4268
0.3416 0.7500 0.9268
0.4000 0.7500 0.7079
0.6000 0.2500 0.2921
0.6584 0.2500 0.0732
0.8416 0.7500 0.5732
0.9000 0.7500 0.7921
0.0088 0.7500 0.0630
0.4912 0.2500 0.5630
0.5088 0.7500 0.4370
0.9912 0.2500 0.9370
0.0871 0.2500 0.6580
0.2115 0.2500 0.8079
0.2190 0.7500 0.5505
0.2810 0.2500 0.0505
0.2885 0.7500 0.3079
0.4129 0.7500 0.1580
0.5871 0.2500 0.8420
0.7115 0.2500 0.6921
0.7190 0.7500 0.9495
0.7810 0.2500 0.4495
0.7885 0.7500 0.1921
0.9129 0.7500 0.3420
```

formation energy: -732 meV/atom
total DFT energy (no corrections): -5.337 eV/atom

***

[6]
Dy3Ag2Pd: optimized geometry, GGA-PBE.

```
Dy3Ag2Pd
1.0
5.0753 0.0000 0.0000
-2.5376 4.3953 0.0000
0.0000 0.0000 6.2262
Dy Ag Pd
3 2 1
direct
0.0000 0.0000 0.0000
0.3333 0.6667 0.6538
0.6667 0.3333 0.3462
0.3333 0.6667 0.1531
0.6667 0.3333 0.8469
0.0000 0.0000 0.5000
```

formation energy: -504 meV/atom
energy relative to the lowest polymorph listed for this composition: 7 meV/atom
total DFT energy (no corrections): -4.621 eV/atom

***

[7]
DyAg2Pd: optimized geometry, GGA-PBE.

```
DyAg2Pd
1.0
4.0533 0.0000 0.0000
0.0000 4.0533 0.0000
0.0000 0.0000 4.8191
Dy Ag Pd
1 2 1
direct
0.0000 0.0000 0.0000
0.0000 0.5000 0.5000
0.5000 0.0000 0.5000
0.5000 0.5000 0.0000
```

formation energy: -365 meV/atom
energy relative to the lowest polymorph listed for this composition: 120 meV/atom
total DFT energy (no corrections): -4.239 eV/atom

***

[8]
DyAg2Pd: optimized geometry, GGA-PBE.

```
DyAg2Pd
1.0
0.0000 3.4077 3.4077
3.4077 0.0000 3.4077
3.4077 3.4077 0.0000
Dy Ag Pd
1 2 1
direct
0.0000 0.0000 0.0000
0.2500 0.2500 0.2500
0.7500 0.7500 0.7500
0.5000 0.5000 0.5000
```

formation energy: -335 meV/atom
energy relative to the lowest polymorph listed for this composition: 149 meV/atom
total DFT energy (no corrections): -4.209 eV/atom

***

[9]
DyAg4Pd: optimized geometry, GGA-PBE.

```
DyAg4Pd
1.0
0.0000 3.8729 3.8729
3.8729 0.0000 3.8729
3.8729 3.8729 0.0000
Dy Ag Pd
1 4 1
direct
0.0000 0.0000 0.0000
0.1260 0.6247 0.6247
0.6247 0.1260 0.6247
0.6247 0.6247 0.1260
0.6247 0.6247 0.6247
0.2500 0.2500 0.2500
```

formation energy: -195 meV/atom
total DFT energy (no corrections): -3.729 eV/atom

***

[10]
DyAgPdPt: optimized geometry, GGA-PBE.

```
DyAgPdPt
1.0
0.0000 3.3519 3.3519
3.3519 0.0000 3.3519
3.3519 3.3519 0.0000
Dy Ag Pd Pt
1 1 1 1
direct
0.0000 0.0000 0.0000
0.5000 0.5000 0.5000
0.7500 0.7500 0.7500
0.2500 0.2500 0.2500
```

formation energy: -688 meV/atom
energy relative to the lowest polymorph listed for this composition: 82 meV/atom
total DFT energy (no corrections): -5.359 eV/atom

***

[11]
DyAgPdPt: optimized geometry, GGA-PBE.

```
DyAgPdPt
1.0
3.9936 0.0000 0.0000
0.0000 4.1939 0.0000
0.0000 0.0000 4.3630
Dy Ag Pd Pt
1 1 1 1
direct
0.0000 0.0000 0.0000
0.0000 0.5000 0.5000
0.5000 0.0000 0.5000
0.5000 0.5000 0.0000
```

formation energy: -769 meV/atom
energy relative to the lowest polymorph listed for this composition: 0 meV/atom
total DFT energy (no corrections): -5.441 eV/atom

***

[12]
Dy4AgPd2Rh: optimized geometry, GGA-PBE.

```
Dy4AgPd2Rh
1.0
2.4904 1.4378 8.1186
-2.4904 1.4378 8.1186
0.0000 -2.8756 8.1186
Dy Ag Pd Rh
4 1 2 1
direct
0.1199 0.1199 0.1199
0.3708 0.3708 0.3708
0.6292 0.6292 0.6292
0.8801 0.8801 0.8801
0.5000 0.5000 0.5000
0.2486 0.2486 0.2486
0.7514 0.7514 0.7514
0.0000 0.0000 0.0000
```

formation energy: -747 meV/atom
total DFT energy (no corrections): -5.622 eV/atom

***

[13]
Dy4AgPdRu2: optimized geometry, GGA-PBE.

```
Dy4AgPdRu2
1.0
2.4561 1.4181 8.0363
-2.4561 1.4181 8.0363
0.0000 -2.8361 8.0363
Dy Ag Pd Ru
4 1 1 2
direct
0.1230 0.1230 0.1230
0.3734 0.3734 0.3734
0.6266 0.6266 0.6266
0.8770 0.8770 0.8770
0.5000 0.5000 0.5000
0.0000 0.0000 0.0000
0.2498 0.2498 0.2498
0.7502 0.7502 0.7502
```

formation energy: -507 meV/atom
total DFT energy (no corrections): -6.133 eV/atom

***

[14]
DyAgSbPd: optimized geometry, GGA-PBE.

```
DyAgSbPd
1.0
0.0000 3.4694 3.4694
3.4694 0.0000 3.4694
3.4694 3.4694 0.0000
Dy Ag Sb Pd
1 1 1 1
direct
0.0000 0.0000 0.0000
0.2500 0.2500 0.2500
0.5000 0.5000 0.5000
0.7500 0.7500 0.7500
```

energy relative to the elements, uncorrected: -570 meV per atom
total DFT energy (no corrections): -4.762 eV/atom

***

[15]
DyAgSnPd: optimized geometry, GGA-PBE.

```
DyAgSnPd
1.0
0.0000 3.4457 3.4457
3.4457 0.0000 3.4457
3.4457 3.4457 0.0000
Dy Ag Sn Pd
1 1 1 1
direct
0.0000 0.0000 0.0000
0.2500 0.2500 0.2500
0.5000 0.5000 0.5000
0.7500 0.7500 0.7500
```

formation energy: -626 meV/atom
total DFT energy (no corrections): -4.788 eV/atom

***

[16]
SrDyAgPd: optimized geometry, GGA-PBE.

```
SrDyAgPd
1.0
0.0000 3.6792 3.6792
3.6792 0.0000 3.6792
3.6792 3.6792 0.0000
Sr Dy Ag Pd
1 1 1 1
direct
0.0000 0.0000 0.0000
0.5000 0.5000 0.5000
0.2500 0.2500 0.2500
0.7500 0.7500 0.7500
```

formation energy: -417 meV/atom
total DFT energy (no corrections): -3.999 eV/atom

***

[17]
DyThAgPd: optimized geometry, GGA-PBE.

```
DyThAgPd
1.0
0.0000 3.6381 3.6381
3.6381 0.0000 3.6381
3.6381 3.6381 0.0000
Dy Th Ag Pd
1 1 1 1
direct
0.0000 0.0000 0.0000
0.5000 0.5000 0.5000
0.7500 0.7500 0.7500
0.2500 0.2500 0.2500
```

formation energy: -431 meV/atom
total DFT energy (no corrections): -5.447 eV/atom

***

[18]
DyTlAgPd: optimized geometry, GGA-PBE.

```
DyTlAgPd
1.0
0.0000 3.4779 3.4779
3.4779 0.0000 3.4779
3.4779 3.4779 0.0000
Dy Tl Ag Pd
1 1 1 1
direct
0.0000 0.0000 0.0000
0.5000 0.5000 0.5000
0.7500 0.7500 0.7500
0.2500 0.2500 0.2500
```

formation energy: -414 meV/atom
total DFT energy (no corrections): -4.167 eV/atom

***

[19]
DyTmAgPd: optimized geometry, GGA-PBE.

```
DyTmAgPd
1.0
3.5367 0.0000 0.0000
0.0000 3.5367 0.0000
0.0000 0.0000 7.1607
Dy Tm Ag Pd
1 1 1 1
direct
0.0000 0.0000 0.0000
0.0000 0.0000 0.4791
0.5000 0.5000 0.7329
0.5000 0.5000 0.2469
```

formation energy: -621 meV/atom
energy relative to the lowest polymorph listed for this composition: 0 meV/atom
total DFT energy (no corrections): -4.900 eV/atom

***

[20]
DyTmAgPd: optimized geometry, GGA-PBE.

```
DyTmAgPd
1.0
0.0000 3.5460 3.5460
3.5460 0.0000 3.5460
3.5460 3.5460 0.0000
Dy Tm Ag Pd
1 1 1 1
direct
0.0000 0.0000 0.0000
0.5000 0.5000 0.5000
0.7500 0.7500 0.7500
0.2500 0.2500 0.2500
```

formation energy: -607 meV/atom
energy relative to the lowest polymorph listed for this composition: 14 meV/atom
total DFT energy (no corrections): -4.887 eV/atom

***

[21]
DyYAgPd: optimized geometry, GGA-PBE.

```
DyYAgPd
1.0
0.0000 3.5745 3.5745
3.5745 0.0000 3.5745
3.5745 3.5745 0.0000
Dy Y Ag Pd
1 1 1 1
direct
0.0000 0.0000 0.0000
0.5000 0.5000 0.5000
0.7500 0.7500 0.7500
0.2500 0.2500 0.2500
```

formation energy: -590 meV/atom
energy relative to the lowest polymorph listed for this composition: 10 meV/atom
total DFT energy (no corrections): -5.368 eV/atom

***

[22]
DyYAgPd: optimized geometry, GGA-PBE.

```
DyYAgPd
1.0
3.5652 0.0000 0.0000
0.0000 3.5652 0.0000
0.0000 0.0000 7.2145
Dy Y Ag Pd
1 1 1 1
direct
0.0000 0.0000 0.0000
0.0000 0.0000 0.4794
0.5000 0.5000 0.7414
0.5000 0.5000 0.2352
```

formation energy: -600 meV/atom
energy relative to the lowest polymorph listed for this composition: 0 meV/atom
total DFT energy (no corrections): -5.378 eV/atom

***

[23]
Dy2Zn2AgPd5: optimized geometry, GGA-PBE.

```
Dy2Zn2AgPd5
1.0
9.5935 0.0000 0.0000
0.0000 9.5935 0.0000
0.0000 0.0000 3.8524
Dy Zn Ag Pd
4 4 2 10
direct
0.1785 0.3215 0.0000
0.3215 0.8215 0.0000
0.6785 0.1785 0.0000
0.8215 0.6785 0.0000
0.1191 0.6191 0.0000
0.3809 0.1191 0.0000
0.6191 0.8809 0.0000
0.8809 0.3809 0.0000
0.0000 0.0000 0.0000
0.5000 0.5000 0.0000
0.0000 0.5000 0.5000
0.0699 0.7941 0.5000
0.2059 0.0699 0.5000
0.2941 0.5699 0.5000
0.4301 0.2941 0.5000
0.5000 0.0000 0.5000
0.5699 0.7059 0.5000
0.7059 0.4301 0.5000
0.7941 0.9301 0.5000
0.9301 0.2059 0.5000
```

formation energy: -629 meV/atom
total DFT energy (no corrections): -4.686 eV/atom

***

[24]
DyZnAgPd: optimized geometry, GGA-PBE.

```
DyZnAgPd
1.0
0.0000 3.3660 3.3660
3.3660 0.0000 3.3660
3.3660 3.3660 0.0000
Dy Zn Ag Pd
1 1 1 1
direct
0.0000 0.0000 0.0000
0.5000 0.5000 0.5000
0.7500 0.7500 0.7500
0.2500 0.2500 0.2500
```

formation energy: -456 meV/atom
total DFT energy (no corrections): -3.936 eV/atom

***

[25]
Pm3DyAg4: optimized geometry, GGA-PBE.

```
Pm3DyAg4
1.0
3.6951 0.0000 0.0000
0.0000 3.6951 0.0000
0.0000 0.0000 14.9098
Pm Dy Ag
3 1 4
direct
0.0000 0.0000 0.0000
0.0000 0.0000 0.2533
0.0000 0.0000 0.7467
0.0000 0.0000 0.5000
0.5000 0.5000 0.1259
0.5000 0.5000 0.3837
0.5000 0.5000 0.6163
0.5000 0.5000 0.8741
```

formation energy: -284 meV/atom
total DFT energy (no corrections): -4.067 eV/atom